IrPb2I2: relaxed, PBEsol.

```
data_IrPb2I2
_chemical_formula_sum 'Ir2 Pb4 I4'
_cell_length_a 4.877
_cell_length_b 4.877
_cell_length_c 14.208
_cell_angle_alpha 90.00
_cell_angle_beta 90.00
_cell_angle_gamma 90.00
_symmetry_space_group_name_H-M 'I 4/m m m'
_symmetry_Int_Tables_number 139
_symmetry_space_group_name_Hall '-I 4 2'
loop_
_atom_site_label
_atom_site_fract_x
_atom_site_fract_y
_atom_site_fract_z
_atom_site_occupancy
Ir1 0.000 0.000 0.000 1
Pb1 0.000 0.000 0.393 1
I1 0.000 0.500 0.250 1
```

## Properties
The calculation puts the size of the total moment at 0.224 μB per atom. As for the volume: 33.8 A^3/atom. Its density of states at the Fermi level is 0.64 states/eV per atom. The value obtained for the total energy is -3.14 eV/atom. For the energy relative to the elements, uncorrected, the calculation gives 5.64 eV/f.u.